# KGaCoC4Cl3O4, relaxed, DFT GGA+U
# E   -6.000 eV/atom
data_KGaCoC4Cl3O4
_chemical_formula_sum 'K4 Ga4 Co4 C16 Cl12 O16'
_symmetry_space_group_name_H-M 'P 1 21/c 1'
_symmetry_Int_Tables_number 14
_cell_length_a 11.7615
_cell_length_b 8.8607
_cell_length_c 11.3416
_cell_angle_alpha 90.00
_cell_angle_beta 106.64
_cell_angle_gamma 90.00
loop_
_symmetry_equiv_pos_as_xyz
'x,y,z'
'-x,-y,-z'
'-x,y+1/2,-z+1/2'
'x,-y+1/2,z+1/2'
loop_
_atom_site_label
_atom_site_type_symbol
_atom_site_fract_x
_atom_site_fract_y
_atom_site_fract_z
K1 K 0.1269 0.1940 0.4218
Ga1 Ga 0.2064 0.5555 0.2441
Co1 Co 0.3760 0.6874 0.3674
C1 C 0.2876 0.6498 0.8275
C2 C 0.3419 0.5800 0.4829
C3 C 0.4349 0.6100 0.2549
C4 C 0.4897 0.2314 0.5470
Cl1 Cl 0.0511 0.5434 0.3213
Cl2 Cl 0.1325 0.6465 0.0533
Cl3 Cl 0.2417 0.1888 0.7138
O1 O 0.2328 0.5394 0.8049
O2 O 0.3200 0.5122 0.5614
O3 O 0.3985 0.1819 0.4935
O4 O 0.4779 0.5640 0.1821